Model A:
# Sr3NbPt, relaxed, DFT PBE-GGA
# M_tot in Bohr magnetons per cell: 4.384
# Density of states at the Fermi level in states/eV/f.u.: 4.43
data_Sr3NbPt
_chemical_formula_sum 'Sr3 Nb1 Pt1'
_space_group_name_H-M_alt 'P 1'
_space_group_IT_number 1
_cell_length_a 5.827
_cell_length_b 5.827
_cell_length_c 5.827
_cell_angle_alpha 90.00
_cell_angle_beta 90.00
_cell_angle_gamma 90.00
loop_
_space_group_symop_operation_xyz
'x,y,z'
loop_
_atom_site_label
_atom_site_type_symbol
_atom_site_fract_x
_atom_site_fract_y
_atom_site_fract_z
Sr1 Sr 0.000 0.000 0.500
Sr2 Sr 0.000 0.500 0.000
Sr3 Sr 0.500 0.000 0.000
Nb1 Nb 0.500 0.500 0.500
Pt1 Pt 0.000 0.000 0.000


Model B:
# Sr3NbPt, relaxed, DFT PBE-GGA
# M_tot in Bohr magnetons per cell: 0.000
# Density of states at the Fermi level in states/eV/f.u.: 6.37
data_Sr3NbPt
_chemical_formula_sum 'Sr3 Nb1 Pt1'
_space_group_name_H-M_alt 'P 1'
_space_group_IT_number 1
_cell_length_a 5.596
_cell_length_b 5.596
_cell_length_c 5.596
_cell_angle_alpha 90.00
_cell_angle_beta 90.00
_cell_angle_gamma 90.00
loop_
_space_group_symop_operation_xyz
'x,y,z'
loop_
_atom_site_label
_atom_site_type_symbol
_atom_site_fract_x
_atom_site_fract_y
_atom_site_fract_z
Sr1 Sr 0.000 0.000 0.500
Sr2 Sr 0.000 0.500 0.000
Sr3 Sr 0.500 0.000 0.000
Nb1 Nb 0.000 0.000 0.000
Pt1 Pt 0.500 0.500 0.500


Of them, model A has the highest stability.


Model A:
# SrNb3Pt, relaxed, DFT PBE-GGA
# M_tot in Bohr magnetons per cell: 0.774
# Density of states at the Fermi level in states/eV/f.u.: 8.15
data_SrNb3Pt
_chemical_formula_sum 'Sr1 Nb3 Pt1'
_space_group_name_H-M_alt 'P 1'
_space_group_IT_number 1
_cell_length_a 5.048
_cell_length_b 5.048
_cell_length_c 5.048
_cell_angle_alpha 90.00
_cell_angle_beta 90.00
_cell_angle_gamma 90.00
loop_
_space_group_symop_operation_xyz
'x,y,z'
loop_
_atom_site_label
_atom_site_type_symbol
_atom_site_fract_x
_atom_site_fract_y
_atom_site_fract_z
Sr1 Sr 0.000 0.000 0.000
Nb1 Nb 0.000 0.500 0.500
Nb2 Nb 0.500 0.000 0.500
Nb3 Nb 0.500 0.500 0.000
Pt1 Pt 0.500 0.500 0.500


Model B:
# SrNb3Pt, relaxed, DFT PBE-GGA
# M_tot in Bohr magnetons per cell: 0.000
# Density of states at the Fermi level in states/eV/f.u.: 7.54
data_SrNb3Pt
_chemical_formula_sum 'Sr1 Nb3 Pt1'
_space_group_name_H-M_alt 'P 1'
_space_group_IT_number 1
_cell_length_a 4.758
_cell_length_b 4.758
_cell_length_c 4.758
_cell_angle_alpha 90.00
_cell_angle_beta 90.00
_cell_angle_gamma 90.00
loop_
_space_group_symop_operation_xyz
'x,y,z'
loop_
_atom_site_label
_atom_site_type_symbol
_atom_site_fract_x
_atom_site_fract_y
_atom_site_fract_z
Sr1 Sr 0.000 0.000 0.000
Nb1 Nb 0.000 0.000 0.500
Nb2 Nb 0.000 0.500 0.000
Nb3 Nb 0.500 0.000 0.000
Pt1 Pt 0.500 0.500 0.500


Of them, model A has the highest stability.